A plane-wave DFT calculation with PBE was carried out for a geometry-optimized CuHgSb2 structure.

The structure in extended XYZ format:
```
16
Lattice="5.280 0.000 0.000 0.000 5.280 0.000 0.000 0.000 15.930" Properties=species:S:1:pos:R:3 pbc="T T T"
Cu 0.000 0.000 0.000
Cu 0.000 2.640 3.983
Cu 2.640 0.000 11.948
Cu 2.640 2.640 7.965
Hg 0.000 0.000 7.965
Hg 0.000 2.640 11.948
Hg 2.640 0.000 3.983
Hg 2.640 2.640 0.000
Sb 0.959 1.320 1.991
Sb 1.320 3.599 5.974
Sb 1.320 4.320 13.939
Sb 1.681 1.320 9.956
Sb 3.599 3.960 9.956
Sb 3.960 0.959 13.939
Sb 3.960 1.681 5.974
Sb 4.320 3.960 1.991
```

Formation energy without anion corrections, eV/atom: 0.20
D(E_F), states/eV/atom: 0.549



A plane-wave DFT calculation with PBE was carried out for a geometry-optimized CuHg2Sb structure.

The structure in extended XYZ format:
```
4
Lattice="4.300 0.000 0.000 0.000 4.300 0.000 0.000 0.000 4.748" Properties=species:S:1:pos:R:3 pbc="T T T"
Cu 0.000 0.000 0.000
Hg 0.000 2.150 2.374
Hg 2.150 0.000 2.374
Sb 2.150 2.150 0.000
```

Formation energy without anion corrections, eV/atom: 0.30
D(E_F), states/eV/atom: 0.364



A plane-wave DFT calculation with PBE was carried out for a geometry-optimized CuHgSb2 structure.

The structure in extended XYZ format:
```
4
Lattice="4.426 0.000 0.000 0.000 4.187 0.000 -1.821 0.000 5.894" Properties=species:S:1:pos:R:3 pbc="T T T"
Cu 0.000 0.000 0.000
Hg 1.302 0.000 2.947
Sb -0.649 2.093 4.882
Sb 3.254 2.093 1.012
```

Formation energy without anion corrections, eV/atom: 0.10
D(E_F), states/eV/atom: 0.161



A plane-wave DFT calculation with PBE was carried out for a geometry-optimized Cu2HgSbSe4 structure.

The structure in extended XYZ format:
```
16
Lattice="5.963 0.000 0.000 0.000 5.963 0.000 0.000 0.000 11.804" Properties=species:S:1:pos:R:3 pbc="T T T"
Cu 0.000 2.982 2.951
Cu 0.000 2.982 8.853
Cu 2.982 0.000 2.951
Cu 2.982 0.000 8.853
Hg 0.000 0.000 0.000
Hg 2.982 2.982 5.902
Sb 0.000 0.000 5.902
Sb 2.982 2.982 0.000
Se 1.487 1.487 7.624
Se 1.487 4.477 4.179
Se 1.495 1.495 1.722
Se 1.495 4.468 10.081
Se 4.468 1.495 10.081
Se 4.468 4.468 1.722
Se 4.477 1.487 4.179
Se 4.477 4.477 7.624
```

Formation energy without anion corrections, eV/atom: -0.16
D(E_F), states/eV/atom: 0.460



A plane-wave DFT calculation with PBE was carried out for a geometry-optimized CuHgSb2Se4 structure.

The structure in extended XYZ format:
```
8
Lattice="0.000 5.729 4.189 4.167 0.000 4.189 4.167 5.729 0.000" Properties=species:S:1:pos:R:3 pbc="T T T"
Cu 0.000 0.000 0.000
Hg 4.167 5.729 3.891
Sb 2.084 2.865 1.719
Sb 6.251 8.594 5.908
Se 4.167 2.426 3.491
Se 6.413 5.729 5.694
Se 4.167 9.033 3.491
Se 1.922 5.729 5.694
```

Formation energy without anion corrections, eV/atom: -0.11
D(E_F), states/eV/atom: 0.294



A plane-wave DFT calculation with PBE was carried out for a geometry-optimized CuSi2HgSb structure.

The structure in extended XYZ format:
```
5
Lattice="5.260 0.000 0.000 0.000 5.260 0.000 0.000 0.000 5.501" Properties=species:S:1:pos:R:3 pbc="T T T"
Cu 0.000 0.000 0.000
Si 0.000 2.630 2.751
Si 2.630 0.000 2.751
Hg 2.630 2.630 0.000
Sb 2.630 2.630 2.751
```

Formation energy without anion corrections, eV/atom: 1.34
D(E_F), states/eV/atom: 0.844